No. 1
## Ce5PuSn2 (GGA-PBE)

Data for a relaxed Ce5PuSn2 crystal.

a b c (Å): 6.7212 6.7212 6.7212
angles (deg): 119.36 119.36 91.11
Site moments in Bohr magnetons follow the coordinates.
Fractional coordinates of all 8 atoms:
Ce: 0.2767 0.2767 0.4977  0.78
Ce: 0.2766 0.7790 0.0000  0.78
Ce: 0.7791 0.2767 0.0000  0.78
Ce: 0.7790 0.7790 0.5023  0.78
Ce: 0.2809 0.2810 0.0000  0.66
Pu: 0.7749 0.7748 0.0000  5.55
Sn: 0.2780 0.7780 0.5001  -0.05
Sn: 0.7779 0.2779 0.4999  -0.05

Calculated values
* E_tot: -55.16 eV/cell

=====

No. 2
## Zn2BiTeF (GGA-PBE)

Data for a relaxed Zn2BiTeF crystal.

a b c (Å): 5.3915 6.1677 5.3915
angles (deg): 90.00 90.00 90.00
Site moments in Bohr magnetons follow the coordinates.
Fractional coordinates of all 5 atoms:
Zn: 0.0000 0.0000 0.5000  0.00
Zn: 0.5000 0.0000 0.0000  0.00
Te: 0.0000 0.0000 0.0000  -0.01
Bi: 0.0000 0.5000 0.0000  0.66
F: 0.5000 0.5000 0.5000  0.09

Calculated values
* raw formation energy: 0.25 eV/atom
* E_tot: -10.20 eV/cell

=====

No. 3
## Tl2SnHgH (GGA-PBE)

Data for a relaxed Tl2SnHgH crystal.

a b c (Å): 5.6362 5.6362 3.9248
angles (deg): 90.00 90.00 90.00
Fractional coordinates of all 5 atoms:
H: 0.0000 0.0000 0.0000
Tl: 0.0000 0.5000 0.0000
Tl: 0.5000 0.0000 0.0000
Hg: 0.5000 0.5000 0.5000
Sn: 0.0000 0.0000 0.5000

Calculated values
* E_tot: -11.51 eV/cell
* energy above the most stable polymorph in this dataset: 0.00 eV/f.u.

=====

No. 4
## CaAl2Re (GGA-PBE)

Data for a relaxed CaAl2Re crystal.

a b c (Å): 4.4082 4.4082 3.6702
angles (deg): 90.00 90.00 90.00
Fractional coordinates of all 4 atoms:
Re: 0.0000 0.5000 0.5000
Ca: 0.5000 0.0000 0.5000
Al: 0.0000 0.0000 0.0000
Al: 0.5000 0.5000 0.0000

Calculated values
* E_tot: -20.60 eV/cell
* energy above the most stable polymorph in this dataset: 1.72 eV/f.u.

=====

No. 5
## Li3GaHg6 (GGA-PBE)

Data for a relaxed Li3GaHg6 crystal.

a b c (Å): 4.8643 8.4994 10.5488
angles (deg): 106.28 90.00 90.00
Fractional coordinates of all 20 atoms:
Li: 0.2500 0.5480 0.3927
Li: 0.7500 0.4520 0.6073
Li: 0.2500 0.3619 0.7931
Li: 0.7500 0.6381 0.2069
Li: 0.2500 0.7720 0.9873
Li: 0.7500 0.2280 0.0127
Ga: 0.2500 0.9414 0.5748
Ga: 0.7500 0.0586 0.4252
Hg: 0.2500 0.4746 0.0835
Hg: 0.7500 0.5254 0.9165
Hg: 0.2500 0.1611 0.1732
Hg: 0.7500 0.8389 0.8268
Hg: 0.2500 0.6348 0.6891
Hg: 0.7500 0.3652 0.3109
Hg: 0.2500 0.2632 0.5001
Hg: 0.7500 0.7368 0.4999
Hg: 0.2500 0.8256 0.2830
Hg: 0.7500 0.1744 0.7170
Hg: 0.2500 0.0685 0.8677
Hg: 0.7500 0.9315 0.1323

Calculated values
* E_tot: -25.43 eV/cell
* energy above the most stable polymorph in this dataset: 0.00 eV/f.u.

=====

No. 6
## Ta5VMo6 (GGA-PBE)

Data for a relaxed Ta5VMo6 crystal.

a b c (Å): 4.5426 6.4114 7.8621
angles (deg): 114.06 106.88 90.00
Fractional coordinates of all 12 atoms:
Mo: 0.8355 0.5878 0.6707
Mo: 0.8355 0.0829 0.6707
Mo: 0.5000 0.7548 0.0000
Mo: 0.5000 0.2452 0.0000
Mo: 0.1645 0.9171 0.3293
Mo: 0.1645 0.4122 0.3293
Ta: 0.6659 0.1659 0.3319
Ta: 0.3337 0.3337 0.6674
Ta: 0.0000 0.5000 0.0000
Ta: 0.6663 0.6663 0.3326
Ta: 0.3341 0.8341 0.6681
V: 0.0000 0.0000 0.0000

Calculated values
* E_tot: -135.42 eV/cell